Computed, not measured: a relaxed LiScCr2O4 crystal at the PBE with a Hubbard U level of DFT.

Calculated total energy   -7.477 eV/atom

Unit cell a=3.161 b=5.286 c=5.184 alpha=106.30 beta=90.00 gamma=90.00
Last column: magnetic moment on the atom in μB.
Atoms (fractional coordinates):
Sc: 0.500 0.500 0.000  0.02
Cr: 0.500 0.000 0.500  3.75
O: 0.500 0.259 0.269  -0.01
O: 0.000 0.735 0.226  0.02
O: 0.000 0.265 0.774  0.02
O: 0.500 0.741 0.731  -0.01
Li: 0.000 0.000 0.000  -0.01
Cr: 0.000 0.500 0.500  1.99